[1]
Material: Y2HfO5
Method: DFT, PBEsol
State: optimized geometry

Unit cell a=9.384 b=7.085 c=6.429 alpha=90.00 beta=105.42 gamma=90.00
Positions (direct):
Y  0.026  0.126  0.242
Y  0.026  0.374  0.742
Y  0.354  0.129  0.038
Y  0.354  0.371  0.538
Y  0.646  0.629  0.462
Y  0.646  0.871  0.962
Y  0.974  0.626  0.258
Y  0.974  0.874  0.758
Hf  0.320  0.612  0.057
Hf  0.320  0.888  0.557
Hf  0.680  0.112  0.443
Hf  0.680  0.388  0.943
O  0.104  0.630  0.987
O  0.104  0.870  0.487
O  0.109  0.112  0.936
O  0.109  0.388  0.436
O  0.282  0.103  0.345
O  0.282  0.397  0.845
O  0.329  0.667  0.375
O  0.329  0.833  0.875
O  0.460  0.104  0.742
O  0.460  0.396  0.242
O  0.540  0.604  0.758
O  0.540  0.896  0.258
O  0.671  0.167  0.125
O  0.671  0.333  0.625
O  0.718  0.603  0.155
O  0.718  0.897  0.655
O  0.891  0.612  0.564
O  0.891  0.888  0.064
O  0.896  0.130  0.513
O  0.896  0.370  0.013

## Properties
Magnetic moment = 0.000 μB/cell
ΔE_f (raw) = -28.46 eV/f.u.

---

[2]
Material: ZrCdAs
Method: DFT, PBEsol
State: optimized geometry

Unit cell a=3.425 b=3.425 c=10.459 alpha=90.00 beta=90.00 gamma=90.00
Positions (direct):
Zr  0.000  0.000  0.000
Zr  0.500  0.500  0.500
Cd  0.000  0.000  0.300
Cd  0.500  0.500  0.800
As  0.000  0.000  0.617
As  0.500  0.500  0.117

## Properties
Magnetic moment = 0.007 μB/cell
Formation energy from the elements = -343.3 meV per atom

---

[3]
Material: Zn2CdRe
Method: DFT, PBEsol
State: optimized geometry

Unit cell a=2.732 b=2.732 c=8.320 alpha=90.00 beta=90.00 gamma=90.00
Positions (direct):
Zn  0.000  0.000  0.229
Zn  0.000  0.000  0.771
Cd  0.500  0.500  0.500
Re  0.500  0.500  0.000

## Properties
Magnetic moment = 0.001 μB/cell
Formation energy from the elements = 304.9 meV per atom